(1)
This record from the Alexandria database describes crystalline SrTi2AgN at its relaxed geometry. The functional is PBE.

Unit cell a=5.3040 b=5.3040 c=4.1679 alpha=90.00 beta=90.00 gamma=90.00
Atoms (fractional coordinates):
Sr (0.0000, 0.0000, 0.0000)
Ti (0.0000, 0.5000, 0.5000)
Ti (0.5000, 0.0000, 0.5000)
Ag (0.5000, 0.5000, 0.5000)
N (0.5000, 0.5000, 0.0000)

## Properties
**Space group**: P4/mmm (123)
**Magnetic moment**: 5.51 μB per formula unit
**Total DFT energy (no corrections)**: -4.37 eV/atom
**Raw formation energy**: 1.3584 eV/atom

---

(2)
This record from the Alexandria database describes crystalline Sr2TlAgN at its relaxed geometry. The functional is PBE.

Unit cell a=5.3635 b=5.3635 c=4.4087 alpha=90.00 beta=90.00 gamma=90.00
Atoms (fractional coordinates):
Sr (0.0000, 0.5000, 0.0000)
Sr (0.5000, 0.0000, 0.0000)
Tl (0.0000, 0.0000, 0.5000)
Ag (0.5000, 0.5000, 0.5000)
N (0.5000, 0.5000, 0.0000)

## Properties
**Space group**: P4/mmm (123)
**Magnetic moment**: 0.00 μB per formula unit
**Total DFT energy (no corrections)**: -3.59 eV/atom
**Raw formation energy**: -0.2093 eV/atom

---

(3)
This record from the Alexandria database describes crystalline SrY2AgN at its relaxed geometry. The functional is PBE.

Unit cell a=4.7417 b=4.7417 c=5.4386 alpha=90.00 beta=90.00 gamma=90.00
Atoms (fractional coordinates):
Sr (0.0000, 0.0000, 0.0000)
Y (0.0000, 0.5000, 0.5000)
Y (0.5000, 0.0000, 0.5000)
Ag (0.5000, 0.5000, 0.0000)
N (0.0000, 0.0000, 0.5000)

## Properties
**Space group**: P4/mmm (123)
**Magnetic moment**: 0.00 μB per formula unit
**Total DFT energy (no corrections)**: -5.76 eV/atom
**Raw formation energy**: -0.6045 eV/atom

---

(4)
This record from the Alexandria database describes crystalline SrY2AgN at its relaxed geometry. The functional is PBE.

Unit cell a=5.9277 b=5.9277 c=4.2408 alpha=90.00 beta=90.00 gamma=90.00
Atoms (fractional coordinates):
Sr (0.0000, 0.0000, 0.0000)
Y (0.0000, 0.5000, 0.0000)
Y (0.5000, 0.0000, 0.0000)
Ag (0.5000, 0.5000, 0.5000)
N (0.0000, 0.0000, 0.5000)

## Properties
**Space group**: P4/mmm (123)
**Magnetic moment**: 0.00 μB per formula unit
**Total DFT energy (no corrections)**: -3.88 eV/atom
**Raw formation energy**: 1.2727 eV/atom